# AlZn2Os | Alexandria | GGA-PBEsol | optimized geometry
data_AlZn2Os
_chemical_formula_sum 'Al4 Zn8 Os4'
_space_group_name_H-M_alt 'F -4 3 m'
_space_group_IT_number 216
_space_group_name_Hall 'F -4 2 3'
_cell_length_a 6.0304
_cell_length_b 6.0304
_cell_length_c 6.0304
_cell_angle_alpha 90.00
_cell_angle_beta 90.00
_cell_angle_gamma 90.00
loop_
_atom_site_label
_atom_site_fract_x
_atom_site_fract_y
_atom_site_fract_z
Al1 0.0000 0.0000 0.0000
Zn1 0.0000 0.0000 0.5000
Zn2 0.2500 0.2500 0.7500
Os1 0.2500 0.2500 0.2500
# Calculated total energy in eV for the cell shown: -77.5
# Total moment in μB/cell: 0.00
# DOS at the Fermi energy in states/eV/f.u.: 1.44